[1]
Density functional theory data (PBE) for a geometry-optimized Ca2LaGa4 structure.

Calculated total energy, eV/cell: -25.00
ρ, Mg/m³: 4.63
Crystal system: orthorhombic
Energy of formation, eV per atom: -0.566
N(E_F), states/eV per cell: 6.11

Cell and atoms, written as POSCAR:
```
Ca2LaGa4
1.0
-2.160 2.185 9.464
2.160 -2.185 9.464
2.160 2.185 -9.464
Ca La Ga
2 1 4
direct
0.187 0.187 0.000
0.813 0.813 0.000
0.000 0.500 0.500
0.360 0.360 0.000
0.433 0.933 0.500
0.567 0.067 0.500
0.640 0.640 0.000
```

=====

[2]
Density functional theory data (PBE) for a geometry-optimized Ca3LaGa4 structure.

Calculated total energy, eV/cell: -26.85
ρ, Mg/m³: 4.40
Crystal system: tetragonal
Energy of formation, eV per atom: -0.476
N(E_F), states/eV per cell: 4.62

Cell and atoms, written as POSCAR:
```
Ca3LaGa4
1.0
5.223 0.000 0.000
0.000 5.223 0.000
0.000 0.000 7.443
Ca La Ga
3 1 4
direct
0.000 0.000 0.000
0.000 0.000 0.500
0.500 0.500 0.000
0.500 0.500 0.500
0.000 0.500 0.242
0.000 0.500 0.758
0.500 0.000 0.242
0.500 0.000 0.758
```

=====

[3]
Density functional theory data (PBE) for a geometry-optimized CaLaGa4 structure.

Calculated total energy, eV/cell: -22.56
Energy relative to the lowest polymorph listed for this composition, kJ/mol of atoms: 0.00
ρ, Mg/m³: 5.31
Crystal system: orthorhombic
Energy of formation, eV per atom: -0.588
N(E_F), states/eV per cell: 3.12

Cell and atoms, written as POSCAR:
```
CaLaGa4
1.0
-2.169 3.704 4.457
2.169 -3.704 4.457
2.169 3.704 -4.457
Ca La Ga
1 1 4
direct
0.000 0.000 0.000
0.500 0.500 0.000
0.094 0.764 0.330
0.433 0.764 0.670
0.567 0.236 0.330
0.906 0.236 0.670
```

=====

[4]
Density functional theory data (PBE) for a geometry-optimized Ca2LaGa2 structure.

Calculated total energy, eV/cell: -15.30
Energy relative to the lowest polymorph listed for this composition, kJ/mol of atoms: 23.06
ρ, Mg/m³: 3.80
Crystal system: tetragonal
Energy of formation, eV per atom: -0.063
N(E_F), states/eV per cell: 3.43

Cell and atoms, written as POSCAR:
```
Ca2LaGa2
1.0
-2.659 2.659 5.535
2.659 -2.659 5.535
2.659 2.659 -5.535
Ca La Ga
2 1 2
direct
0.150 0.150 0.000
0.850 0.850 0.000
0.500 0.500 0.000
0.250 0.750 0.500
0.750 0.250 0.500
```

=====

[5]
Density functional theory data (PBE) for a geometry-optimized CaLa2Ga structure.

Calculated total energy, eV/cell: -14.98
ρ, Mg/m³: 4.18
Crystal system: trigonal
Energy of formation, eV per atom: -0.025
N(E_F), states/eV per cell: 4.42

Cell and atoms, written as POSCAR:
```
CaLa2Ga
1.0
2.374 1.371 7.892
-2.374 1.371 7.892
0.000 -2.741 7.892
Ca La Ga
1 2 1
direct
0.000 0.000 0.000
0.555 0.555 0.555
0.773 0.773 0.773
0.158 0.158 0.158
```

=====

[6]
Density functional theory data (PBE) for a geometry-optimized CaLa2Ga structure.

Calculated total energy, eV/cell: -15.83
ρ, Mg/m³: 4.78
Crystal system: tetragonal
Energy of formation, eV per atom: -0.236
N(E_F), states/eV per cell: 5.21

Cell and atoms, written as POSCAR:
```
CaLa2Ga
1.0
3.852 0.000 0.000
0.000 3.852 0.000
0.000 0.000 9.072
Ca La Ga
1 2 1
direct
0.000 0.000 0.000
0.500 0.500 0.309
0.500 0.500 0.691
0.000 0.000 0.500
```